[1]
# RbErTeSe | OQMD | PBE | optimized geometry
data_RbErTeSe
_cell_length_a 4.3357
_cell_length_b 4.3357
_cell_length_c 24.8168
_cell_angle_alpha 90.00
_cell_angle_beta 90.00
_cell_angle_gamma 120.00
_space_group_name_H-M_alt 'R 3 m'
_space_group_IT_number 160
_space_group_name_Hall 'R 3 -2"'
loop_
_atom_site_label
_atom_site_type_symbol
_atom_site_fract_x
_atom_site_fract_y
_atom_site_fract_z
Rb1 Rb 0.0000 0.0000 0.0000
Er1 Er 0.0000 0.0000 0.5097
Te1 Te 0.0000 0.0000 0.7713
Se1 Se 0.0000 0.0000 0.2358
# Magnetic moment   0.0 μB per cell
# E   -4.576 eV/atom

=====

[2]
# Rb2ErTmSe4 | OQMD | PBE | optimized geometry
data_Rb2ErTmSe4
_cell_length_a 4.1830
_cell_length_b 4.1830
_cell_length_c 15.9521
_cell_angle_alpha 90.00
_cell_angle_beta 90.00
_cell_angle_gamma 120.00
_space_group_name_H-M_alt 'P -3 m 1'
_space_group_IT_number 164
_space_group_name_Hall '-P 3 2"'
loop_
_atom_site_label
_atom_site_type_symbol
_atom_site_fract_x
_atom_site_fract_y
_atom_site_fract_z
Rb1 Rb 0.3333 0.6667 0.2499
Er1 Er 0.0000 0.0000 0.5000
Tm1 Tm 0.0000 0.0000 0.0000
Se1 Se 0.3333 0.6667 0.5978
Se2 Se 0.3333 0.6667 0.9030
# Magnetic moment   0.0 μB per cell
# E   -4.840 eV/atom